(1)
Computed, not measured: a relaxed structure of Sm2ErMg3InGa2 at the PBE-GGA level of DFT.

The structure belongs to space group Amm2 (No. 38); the cell edges are 4.584, 12.716 and 7.428 Å and the angles 90.00°, 90.00° and 90.00°. Symmetry generates all atoms from Sm at (0.000, 0.218, 0.000), Er at (0.000, 0.000, 0.345), Mg at (0.500, 0.000, 0.030), Mg at (0.500, 0.124, 0.655), In at (0.000, 0.000, 0.775) and Ga at (0.500, 0.164, 0.282).

For the total energy, the calculation gives -63.21 eV for the cell shown.

=====

(2)
Computed, not measured: a relaxed structure of Be2CoAs at the PBE-GGA level of DFT.

The structure belongs to space group F-43m (No. 216); the cell edges are 5.515, 5.515 and 5.515 Å and the angles 90.00°, 90.00° and 90.00°. Symmetry generates all atoms from Be at (0.000, 0.000, 0.000), Be at (0.250, 0.250, 0.250), Co at (0.000, 0.000, 0.500) and As at (0.250, 0.250, 0.750).

For the total energy, the calculation gives -74.28 eV for the cell shown.

=====

(3)
Computed, not measured: a relaxed structure of ZrAsAuO at the PBE-GGA level of DFT.

The structure belongs to space group Pmc2_1 (No. 26); the cell edges are 4.075, 6.212 and 5.725 Å and the angles 90.00°, 90.00° and 90.00°. Symmetry generates all atoms from Zr at (0.000, 0.216, 0.000), As at (0.000, 0.230, 0.507), Au at (0.500, 0.439, 0.601) and O at (0.500, 0.173, 0.053).

For the total energy, the calculation gives -51.89 eV for the cell shown. The relative energy among the computed polymorphs is 175 meV/atom.

=====

(4)
Computed, not measured: a relaxed structure of Ho3ErIn2C2 at the PBE-GGA level of DFT.

The structure belongs to space group P3m1 (No. 156); the cell edges are 3.5734, 3.5734 and 16.2902 Å and the angles 90.00°, 90.00° and 120.00°. Symmetry generates all atoms from Ho at (0.0000, 0.0000, 0.0000), Ho at (0.0000, 0.0000, 0.3356), Ho at (0.3333, 0.6667, 0.8347), Er at (0.3333, 0.6667, 0.5001), In at (0.0000, 0.0000, 0.6669), In at (0.3333, 0.6667, 0.1676), C at (0.6667, 0.3333, 0.4179) and C at (0.6667, 0.3333, 0.9174).

For the total energy, the calculation gives -45.49 eV for the cell shown.

=====

(5)
Computed, not measured: a relaxed structure of ZnO at the PBE-GGA level of DFT.

The structure belongs to space group R3m (No. 160, hexagonal axes); the cell edges are 8.8641, 8.8641 and 2.8159 Å and the angles 90.00°, 90.00° and 120.00°. Symmetry generates all atoms from Zn at (0.1037, 0.2074, 0.0000) and O at (0.2113, 0.1056, 0.5007).

For the total energy, the calculation gives -77.87 eV for the cell shown.

=====

(6)
Computed, not measured: a relaxed structure of AgHgO3 at the PBE-GGA level of DFT.

The structure belongs to space group Pnma (No. 62); the cell edges are 5.707, 7.993 and 5.544 Å and the angles 90.00°, 90.00° and 90.00°. Symmetry generates all atoms from Ag at (0.000, 0.000, 0.000), Hg at (0.050, 0.250, 0.486), O at (0.067, 0.750, 0.114) and O at (0.197, 0.565, 0.694).

For the total energy, the calculation gives -69.37 eV for the cell shown.

=====

(7)
Computed, not measured: a relaxed structure of PrHoCd2Ag4 at the PBE-GGA level of DFT.

The structure belongs to space group P4/mmm (No. 123); the cell edges are 5.004, 5.004 and 7.071 Å and the angles 90.00°, 90.00° and 90.00°. Symmetry generates all atoms from Pr at (0.000, 0.000, 0.000), Ho at (0.500, 0.500, 0.500), Cd at (0.000, 0.000, 0.500), Cd at (0.500, 0.500, 0.000) and Ag at (0.000, 0.500, 0.264).

The calculation puts the formation energy at -2.26 eV/f.u. For the total energy, the calculation gives -24.70 eV for the cell shown.

=====

(8)
Computed, not measured: a relaxed structure of DyHo2Er3Bi2Os at the PBE-GGA level of DFT.

The structure belongs to space group Amm2 (No. 38); the cell edges are 4.219, 14.303 and 8.252 Å and the angles 90.00°, 90.00° and 90.00°. Symmetry generates all atoms from Dy at (0.000, 0.000, 0.000), Ho at (0.000, 0.117, 0.352), Er at (0.500, 0.000, 0.619), Er at (0.500, 0.193, 0.043), Bi at (0.000, 0.167, 0.735) and Os at (0.500, 0.000, 0.236).

For the total energy, the calculation gives -103.14 eV for the cell shown.